1.
In2RuCl | PBE | relaxed

## Properties
energy relative to the elements, uncorrected: 55 meV/atom

a = 3.4477 Å, b = 3.4482 Å, c = 8.3190 Å
α = 90.00°, β = 90.00°, γ = 90.00°
Positions (direct):
1 In 0.5000 0.5000 0.4333
2 In 0.0000 0.0000 0.9888
3 Ru 0.0000 0.0000 0.3015
4 Cl 0.5000 0.5000 0.7764


2.
Cd6Ag10Ge | PBE | relaxed

## Properties
ΔH_f (0 K): 0.025 eV/atom

a = 5.7190 Å, b = 8.1771 Å, c = 8.1771 Å
α = 120.00°, β = 90.00°, γ = 90.00°
Positions (direct):
1 Cd 0.2827 0.3866 0.0000
2 Cd 0.7173 0.3866 0.3866
3 Cd 0.7173 0.6134 0.0000
4 Cd 0.7173 0.0000 0.6134
5 Cd 0.2827 0.0000 0.3866
6 Cd 0.2827 0.6134 0.6134
7 Ag 0.0000 0.3333 0.6667
8 Ag 0.8086 0.0000 0.2607
9 Ag 0.8086 0.7393 0.7393
10 Ag 0.1914 0.0000 0.7393
11 Ag 0.5000 0.3333 0.6667
12 Ag 0.1914 0.7393 0.0000
13 Ag 0.1914 0.2607 0.2607
14 Ag 0.8086 0.2607 0.0000
15 Ag 0.0000 0.6667 0.3333
16 Ag 0.5000 0.6667 0.3333
17 Ge 0.5000 0.0000 0.0000


3.
Pr3SmEr | PBE | relaxed

## Properties
ΔH_f (0 K): 0.181 eV/atom

a = 6.8982 Å, b = 6.1328 Å, c = 9.4832 Å
α = 108.83°, β = 111.33°, γ = 90.00°
Positions (direct):
1 Pr 0.4199 0.9016 0.3041
2 Pr 0.2253 0.4748 0.4506
3 Pr 0.1158 0.0984 0.6959
4 Pr 0.8842 0.9016 0.3041
5 Pr 0.7747 0.5252 0.5494
6 Pr 0.5801 0.0984 0.6959
7 Sm 0.0000 0.0000 0.0000
8 Sm 0.0000 0.5000 0.0000
9 Er 0.5513 0.3012 0.1026
10 Er 0.4487 0.6988 0.8974


4.
TiH4Ru3 | PBE | relaxed

## Properties
raw total energy: -6.38 eV/atom

a = 4.0084 Å, b = 4.0084 Å, c = 4.0084 Å
α = 90.00°, β = 90.00°, γ = 90.00°
Positions (direct):
1 H 0.5000 0.5000 0.5000
2 H 0.5000 0.0000 0.0000
3 H 0.0000 0.5000 0.0000
4 H 0.0000 0.0000 0.5000
5 Ru 0.0000 0.5000 0.5000
6 Ru 0.5000 0.0000 0.5000
7 Ru 0.5000 0.5000 0.0000
8 Ti 0.0000 0.0000 0.0000


5.
PPtSe2 | PBE | relaxed

## Properties
energy relative to the elements, uncorrected: 47 meV/atom

a = 2.7527 Å, b = 3.5793 Å, c = 8.7180 Å
α = 90.00°, β = 90.00°, γ = 90.00°
Positions (direct):
1 Pt 0.5000 0.5000 0.5786
2 Se 0.0000 0.0000 0.9457
3 Se 0.5000 0.5000 0.2876
4 P 0.0000 0.0000 0.6881


6.
SrEuIr | PBE | relaxed

## Properties
ΔH_f (0 K): -0.163 eV/atom

a = 3.6142 Å, b = 3.6142 Å, c = 7.5386 Å
α = 103.87°, β = 103.87°, γ = 90.00°
Positions (direct):
1 Ir 0.6728 0.6728 0.3456
2 Sr 0.0436 0.0436 0.0873
3 Eu 0.2836 0.2836 0.5671


7.
Mg3Zn2Hg2 | PBE | relaxed

## Properties
ΔH_f (0 K): -0.126 eV/atom

a = 4.2820 Å, b = 3.1649 Å, c = 10.5177 Å
α = 90.00°, β = 78.25°, γ = 90.00°
Positions (direct):
1 Zn 0.2826 0.5000 0.4348
2 Zn 0.7174 0.5000 0.5652
3 Mg 0.0000 0.0000 0.0000
4 Mg 0.8419 0.0000 0.3162
5 Mg 0.1581 0.0000 0.6838
6 Hg 0.4217 0.5000 0.1566
7 Hg 0.5783 0.5000 0.8434


8.
MnP3Pt | PBE | relaxed

## Properties
ΔH_f (0 K): 0.495 eV/atom

a = 4.3133 Å, b = 4.3133 Å, c = 4.3133 Å
α = 90.00°, β = 90.00°, γ = 90.00°
Positions (direct):
1 P 0.0000 0.0000 0.5000
2 P 0.0000 0.5000 0.0000
3 P 0.5000 0.0000 0.0000
4 Mn 0.0000 0.0000 0.0000
5 Pt 0.5000 0.5000 0.5000


Q: Which formula does entry 1 have?
A: In2RuCl